1.
This record from Alexandria describes an optimized crystal structure of MoPbW. The functional is PBE-GGA.

Lattice parameters (Å, degrees): 6.052 6.052 6.052 149.20 149.20 44.12
Fractional coordinates of all 3 atoms:
Mo 0.022 0.022 0.000
Pb 0.334 0.334 0.000
W 0.644 0.644 0.000

Properties
formation enthalpy at 0 K: 2.0 eV/f.u.
ΔE to the lowest computed polymorph: 0.047 eV per atom
E: -25.45 eV for the cell shown
magnetic moment: 0.00 μB per atom

2.
This record from Alexandria describes an optimized crystal structure of MoPbW. The functional is PBE-GGA.

Lattice parameters (Å, degrees): 3.202 3.202 7.039 90.00 90.00 120.00
Fractional coordinates of all 3 atoms:
Mo 0.000 0.000 0.954
Pb 0.333 0.667 0.334
W 0.667 0.333 0.713

Properties
formation enthalpy at 0 K: 1.9 eV/f.u.
ΔE to the lowest computed polymorph: 0.000 eV per atom
E: -25.59 eV for the cell shown
magnetic moment: 0.00 μB per atom

What did the second record say?
This record from Alexandria describes an optimized crystal structure of MoPbW. The functional is PBE-GGA.

Lattice parameters (Å, degrees): 3.202 3.202 7.039 90.00 90.00 120.00
Fractional coordinates of all 3 atoms:
Mo 0.000 0.000 0.954
Pb 0.333 0.667 0.334
W 0.667 0.333 0.713

Properties
formation enthalpy at 0 K: 1.9 eV/f.u.
ΔE to the lowest computed polymorph: 0.000 eV per atom
E: -25.59 eV for the cell shown
magnetic moment: 0.00 μB per atom

magnetic moment of number 1 (MoPbW)? 0.00 μB per atom

What is the formation enthalpy at 0 K in the second record? 1.9 eV/f.u.

Please write out number 1 again, unchanged.
This record from Alexandria describes an optimized crystal structure of MoPbW. The functional is PBE-GGA.

Lattice parameters (Å, degrees): 6.052 6.052 6.052 149.20 149.20 44.12
Fractional coordinates of all 3 atoms:
Mo 0.022 0.022 0.000
Pb 0.334 0.334 0.000
W 0.644 0.644 0.000

Properties
formation enthalpy at 0 K: 2.0 eV/f.u.
ΔE to the lowest computed polymorph: 0.047 eV per atom
E: -25.45 eV for the cell shown
magnetic moment: 0.00 μB per atom